This record from Alexandria describes a geometry-optimized Y3Si2Ni6 structure. The functional is PBE.

```
Y3Si2Ni6
1.0
-4.398 4.398 4.398
4.398 -4.398 4.398
4.398 4.398 -4.398
Y Si Ni
6 4 12
Cartesian
2.518 0.000 0.000
6.278 0.000 0.000
0.000 2.518 0.000
0.000 0.000 2.518
0.000 6.278 0.000
0.000 0.000 6.278
2.199 2.199 -2.199
2.199 -2.199 2.199
-2.199 2.199 2.199
2.199 2.199 2.199
4.398 1.501 -1.501
4.398 -1.501 1.501
1.501 4.398 -1.501
2.897 2.897 0.000
2.897 0.000 2.897
1.501 -1.501 4.398
4.398 1.501 1.501
0.000 2.897 2.897
-1.501 4.398 1.501
-1.501 1.501 4.398
1.501 4.398 1.501
1.501 1.501 4.398
```

Summary:
The value obtained for the total energy is -72.03 eV per formula unit. The space group is Im-3m (229). The magnetization is 0.000 μB/f.u.